VASP calculation (PBE+U) on a geometry-optimized SrTl3V4O12 structure.

- density of states at the Fermi level (states/eV/f.u.) = 8.20
- final energy (eV for the cell shown) = -375.210
- total magnetic moment (μB/f.u.) = 1.0

Unit cell a=12.6011 b=12.6011 c=9.1316 alpha=90.00 beta=90.00 gamma=120.00
Space group R32 (No. 155, hexagonal axes)
Symmetry-distinct sites (fractional):
Sr 0.0000 0.0000 0.0000
Tl 0.0000 0.4958 0.0000
V 0.0000 0.0000 0.5000
V 0.0000 0.5145 0.5000
O 0.0000 0.6478 0.5000
O 0.0000 0.8665 0.5000
O 0.0496 0.1934 0.8459